Run a
Ca2RePt | Alexandria via LeMat-Bulk | PBE | optimized geometry; crystal system = trigonal; N(E_F) = 4.0 states/eV/cell
1.0
-6.384 -7.611 -0.636
-4.654 -8.246 -3.071
-3.796 -9.197 -0.300
Re Ca Pt
1 2 1
direct
0.750 0.750 0.750
0.999 0.999 0.999
0.501 0.501 0.501
0.250 0.250 0.250

Run b
Ca2RePt | Alexandria via LeMat-Bulk | PBE | optimized geometry; crystal system = tetragonal; N(E_F) = 5.6 states/eV/cell
1.0
-1.312 0.385 2.959
2.683 -1.263 1.354
3.607 8.230 0.529
Re Ca Pt
1 2 1
direct
0.500 0.500 0.696
0.000 0.000 0.934
0.500 0.500 0.319
0.000 0.000 0.551

So which one is most stable? That would be run b, about 19.0 kJ/mol of atoms below the next structure.

Run a
Ca2RePt | Alexandria via LeMat-Bulk | PBE | optimized geometry; crystal system = tetragonal; N(E_F) = 4.2 states/eV/cell
1.0
-0.109 5.248 -0.931
-3.214 1.010 -4.131
-0.719 -2.836 4.456
Re Ca Pt
1 2 1
direct
0.250 0.750 0.500
0.000 0.000 0.000
0.500 0.500 0.000
0.750 0.250 0.500

Run b
Ca2RePt | Alexandria via LeMat-Bulk | PBE | optimized geometry; crystal system = monoclinic; N(E_F) = 4.5 states/eV/cell
1.0
-3.726 -2.103 2.647
1.722 -0.135 2.316
-1.724 5.054 1.587
Re Ca Pt
1 2 1
direct
0.500 0.625 0.761
0.000 0.123 0.957
0.500 0.126 0.291
0.000 0.625 0.491

Run c
Ca2RePt | Alexandria via LeMat-Bulk | PBE | optimized geometry; crystal system = tetragonal; N(E_F) = 7.1 states/eV/cell
1.0
8.051 0.000 0.000
0.000 8.051 0.000
4.026 4.026 2.741
Re Ca Pt
2 4 2
direct
0.500 0.500 0.000
0.250 0.750 0.500
0.651 0.125 0.250
0.099 0.625 0.250
0.375 0.349 0.750
0.875 0.901 0.750
0.000 0.000 0.000
0.750 0.250 0.500

So which one is most stable? That would be run b, about 9.0 kJ/mol of atoms below the next structure.

Run a
CaRePt2 | Alexandria via LeMat-Bulk | PBE | optimized geometry; crystal system = cubic; N(E_F) = 4.1 states/eV/cell
1.0
-4.468 1.083 0.178
-2.842 -2.399 2.708
-1.748 1.936 3.790
Re Ca Pt
1 1 2
direct
0.750 0.750 0.750
0.500 0.500 0.500
0.000 0.000 0.000
0.250 0.250 0.250

Run b
CaRePt2 | Alexandria via LeMat-Bulk | PBE | optimized geometry; crystal system = triclinic; N(E_F) = 3.2 states/eV/cell
1.0
5.977 -0.009 0.004
3.420 4.887 -0.005
-4.090 -3.606 2.429
Re Ca Pt
1 1 2
direct
0.530 0.530 0.998
0.248 0.747 0.500
0.979 0.980 0.002
0.744 0.243 0.500

Run c
CaRePt2 | Alexandria via LeMat-Bulk | PBE | optimized geometry; crystal system = orthorhombic; N(E_F) = 2.0 states/eV/cell
1.0
-0.956 1.950 1.752
-3.783 -0.163 -1.882
-1.751 -4.361 3.898
Re Ca Pt
1 1 2
direct
0.000 0.000 0.435
0.500 0.500 0.771
0.000 0.000 0.006
0.500 0.500 0.288

Run d
CaRePt2 | Alexandria via LeMat-Bulk | PBE | optimized geometry; crystal system = orthorhombic; N(E_F) = 3.3 states/eV/cell
1.0
-1.690 -3.367 0.234
0.399 -0.392 -2.764
6.435 -3.333 -1.478
Re Ca Pt
1 1 2
direct
0.500 0.250 0.250
0.500 0.750 0.750
0.000 0.951 0.049
0.000 0.549 0.451

So which one is most stable? That would be run d, about 11.6 kJ/mol of atoms below the next structure.

Run a
Ca3RePt | Alexandria via LeMat-Bulk | PBE | optimized geometry; crystal system = cubic; N(E_F) = 2.9 states/eV/cell
1.0
-4.550 -2.550 0.882
1.906 -4.261 -2.489
1.911 -1.823 4.583
Re Ca Pt
1 3 1
direct
0.000 0.000 0.000
0.000 0.500 0.000
0.000 0.000 0.500
0.500 0.000 0.000
0.500 0.500 0.500

Run b
Ca3RePt | Alexandria via LeMat-Bulk | PBE | optimized geometry; crystal system = cubic; N(E_F) = 4.3 states/eV/cell
1.0
-2.913 1.448 4.333
-2.989 -4.490 -0.509
3.455 -2.664 3.213
Re Ca Pt
1 3 1
direct
0.500 0.500 0.500
0.000 0.500 0.000
0.000 0.000 0.500
0.500 0.000 0.000
0.000 0.000 0.000

So which one is most stable? That would be run b, about 23.2 kJ/mol of atoms below the next structure.